No. 1
# Sc3Zn2Ni4 (PBE, optimized geometry)
# **Total moment**: 0.00 μB per cell
# **DOS at the Fermi energy**: 5.6 states/eV/f.u.
# **Symmetry**: C2/m (12)
# **Raw total energy**: -48.5 eV/cell
data_Sc3Zn2Ni4
_cell_length_a 4.8511
_cell_length_b 4.8511
_cell_length_c 7.8724
_cell_angle_alpha 95.81
_cell_angle_beta 95.81
_cell_angle_gamma 50.02
_space_group_name_H-M_alt 'P 1'
_space_group_IT_number 1
loop_
_space_group_symop_operation_xyz
'x,y,z'
loop_
_atom_site_label
_atom_site_fract_x
_atom_site_fract_y
_atom_site_fract_z
Sc1 0.0000 0.0000 0.0000
Sc2 0.3736 0.3736 0.6167
Sc3 0.6264 0.6264 0.3833
Zn1 0.3128 0.3128 0.2294
Zn2 0.6872 0.6872 0.7706
Ni1 0.0797 0.0797 0.6338
Ni2 0.2790 0.2790 0.9158
Ni3 0.7210 0.7210 0.0842
Ni4 0.9203 0.9203 0.3662


No. 2
# PmPuRhAu (PBE, optimized geometry)
# **Total moment**: 5.73 μB per cell
# **DOS at the Fermi energy**: 12.7 states/eV/f.u.
# **Symmetry**: F-43m (216)
# **Excess energy over the best structure of this formula in the dataset**: 0.32 eV per formula unit
data_PmPuRhAu
_cell_length_a 5.0556
_cell_length_b 5.0556
_cell_length_c 5.0556
_cell_angle_alpha 60.00
_cell_angle_beta 60.00
_cell_angle_gamma 60.00
_space_group_name_H-M_alt 'P 1'
_space_group_IT_number 1
loop_
_space_group_symop_operation_xyz
'x,y,z'
loop_
_atom_site_label
_atom_site_fract_x
_atom_site_fract_y
_atom_site_fract_z
Pm1 0.0000 0.0000 0.0000
Pu1 0.5000 0.5000 0.5000
Rh1 0.2500 0.2500 0.2500
Au1 0.7500 0.7500 0.7500


No. 3
# Na2SnC2 (PBE, optimized geometry)
# **Total moment**: 0.00 μB per cell
# **DOS at the Fermi energy**: 2.7 states/eV/f.u.
# **Symmetry**: I4/mmm (139)
# **Excess energy over the best structure of this formula in the dataset**: 0.26 eV per formula unit
data_Na2SnC2
_cell_length_a 5.2349
_cell_length_b 5.2349
_cell_length_c 5.2349
_cell_angle_alpha 129.86
_cell_angle_beta 129.86
_cell_angle_gamma 73.63
_space_group_name_H-M_alt 'P 1'
_space_group_IT_number 1
loop_
_space_group_symop_operation_xyz
'x,y,z'
loop_
_atom_site_label
_atom_site_fract_x
_atom_site_fract_y
_atom_site_fract_z
Na1 0.1452 0.1452 0.0000
Na2 0.8548 0.8548 0.0000
Sn1 0.5000 0.5000 0.0000
C1 0.2500 0.7500 0.5000
C2 0.7500 0.2500 0.5000


No. 4
# Tb8SnSe6 (PBE, optimized geometry)
# **E_form (uncorrected)**: -1358 meV per atom
# **Total moment**: 0.00 μB per cell
# **DOS at the Fermi energy**: 10.6 states/eV/f.u.
# **Symmetry**: P-3 (147)
data_Tb8SnSe6
_cell_length_a 10.5769
_cell_length_b 10.5769
_cell_length_c 4.0747
_cell_angle_alpha 90.00
_cell_angle_beta 90.00
_cell_angle_gamma 120.00
_space_group_name_H-M_alt 'P 1'
_space_group_IT_number 1
loop_
_space_group_symop_operation_xyz
'x,y,z'
loop_
_atom_site_label
_atom_site_fract_x
_atom_site_fract_y
_atom_site_fract_z
Tb1 0.0349 0.7134 0.2474
Tb2 0.2866 0.3215 0.2474
Tb3 0.3215 0.0349 0.7526
Tb4 0.3333 0.6667 0.7517
Tb5 0.6667 0.3333 0.2483
Tb6 0.6785 0.9651 0.2474
Tb7 0.7134 0.6785 0.7526
Tb8 0.9651 0.2866 0.7526
Sn1 0.0000 0.0000 0.0000
Se1 0.1314 0.4827 0.2496
Se2 0.3513 0.8686 0.2496
Se3 0.4827 0.3513 0.7504
Se4 0.5173 0.6487 0.2496
Se5 0.6487 0.1314 0.7504
Se6 0.8686 0.5173 0.7504


No. 5
# Th2FePd (PBE, optimized geometry)
# **Total moment**: 0.95 μB per cell
# **DOS at the Fermi energy**: 3.8 states/eV/f.u.
# **Symmetry**: P4/mmm (123)
# **Excess energy over the best structure of this formula in the dataset**: 0.00 eV per formula unit
data_Th2FePd
_cell_length_a 3.5049
_cell_length_b 3.5049
_cell_length_c 7.3277
_cell_angle_alpha 90.00
_cell_angle_beta 90.00
_cell_angle_gamma 90.00
_space_group_name_H-M_alt 'P 1'
_space_group_IT_number 1
loop_
_space_group_symop_operation_xyz
'x,y,z'
loop_
_atom_site_label
_atom_site_fract_x
_atom_site_fract_y
_atom_site_fract_z
Th1 0.0000 0.0000 0.2324
Th2 0.0000 0.0000 0.7676
Fe1 0.5000 0.5000 0.0000
Pd1 0.5000 0.5000 0.5000


No. 6
# TiTeAsN2 (PBE, optimized geometry)
# **E_form (uncorrected)**: 528 meV per atom
# **Total moment**: 0.54 μB per cell
# **DOS at the Fermi energy**: 3.2 states/eV/f.u.
# **Symmetry**: P4/mmm (123)
# **Excess energy over the best structure of this formula in the dataset**: 0.00 eV per formula unit
data_TiTeAsN2
_cell_length_a 3.9493
_cell_length_b 3.9493
_cell_length_c 5.8531
_cell_angle_alpha 90.00
_cell_angle_beta 90.00
_cell_angle_gamma 90.00
_space_group_name_H-M_alt 'P 1'
_space_group_IT_number 1
loop_
_space_group_symop_operation_xyz
'x,y,z'
loop_
_atom_site_label
_atom_site_fract_x
_atom_site_fract_y
_atom_site_fract_z
Ti1 0.0000 0.0000 0.0000
Te1 0.0000 0.0000 0.5000
As1 0.5000 0.5000 0.5000
N1 0.0000 0.5000 0.0000
N2 0.5000 0.0000 0.0000


No. 7
# AlCdRe2 (PBE, optimized geometry)
# **Total moment**: 0.00 μB per cell
# **DOS at the Fermi energy**: 2.3 states/eV/f.u.
# **Symmetry**: F-43m (216)
# **Excess energy over the best structure of this formula in the dataset**: 0.94 eV per formula unit
data_AlCdRe2
_cell_length_a 4.4733
_cell_length_b 4.4733
_cell_length_c 4.4733
_cell_angle_alpha 60.00
_cell_angle_beta 60.00
_cell_angle_gamma 60.00
_space_group_name_H-M_alt 'P 1'
_space_group_IT_number 1
loop_
_space_group_symop_operation_xyz
'x,y,z'
loop_
_atom_site_label
_atom_site_fract_x
_atom_site_fract_y
_atom_site_fract_z
Al1 0.0000 0.0000 0.0000
Cd1 0.7500 0.7500 0.7500
Re1 0.2500 0.2500 0.2500
Re2 0.5000 0.5000 0.5000


No. 8
# KMoSCl2 (PBE, optimized geometry)
# **E_form (uncorrected)**: -857 meV per atom
# **Total moment**: 1.63 μB per cell
# **DOS at the Fermi energy**: 2.3 states/eV/f.u.
# **Symmetry**: P4/mmm (123)
# **Excess energy over the best structure of this formula in the dataset**: 0.00 eV per formula unit
data_KMoSCl2
_cell_length_a 5.1260
_cell_length_b 5.1260
_cell_length_c 4.6260
_cell_angle_alpha 90.00
_cell_angle_beta 90.00
_cell_angle_gamma 90.00
_space_group_name_H-M_alt 'P 1'
_space_group_IT_number 1
loop_
_space_group_symop_operation_xyz
'x,y,z'
loop_
_atom_site_label
_atom_site_fract_x
_atom_site_fract_y
_atom_site_fract_z
K1 0.0000 0.0000 0.0000
Mo1 0.5000 0.5000 0.5000
S1 0.5000 0.5000 0.0000
Cl1 0.0000 0.5000 0.5000
Cl2 0.5000 0.0000 0.5000


No. 9
# SmYBePd (PBE, optimized geometry)
# **Total moment**: 0.00 μB per cell
# **DOS at the Fermi energy**: 2.5 states/eV/f.u.
# **Symmetry**: F-43m (216)
# **Raw total energy**: -21.3 eV/cell
data_SmYBePd
_cell_length_a 4.9783
_cell_length_b 4.9783
_cell_length_c 4.9783
_cell_angle_alpha 60.00
_cell_angle_beta 60.00
_cell_angle_gamma 60.00
_space_group_name_H-M_alt 'P 1'
_space_group_IT_number 1
loop_
_space_group_symop_operation_xyz
'x,y,z'
loop_
_atom_site_label
_atom_site_fract_x
_atom_site_fract_y
_atom_site_fract_z
Sm1 0.0000 0.0000 0.0000
Y1 0.5000 0.5000 0.5000
Be1 0.7500 0.7500 0.7500
Pd1 0.2500 0.2500 0.2500


No. 10
# SrCu4Br (PBE, optimized geometry)
# **E_form (uncorrected)**: -20 meV per atom
# **Total moment**: 0.00 μB per cell
# **DOS at the Fermi energy**: 2.3 states/eV/f.u.
# **Symmetry**: F-43m (216)
data_SrCu4Br
_cell_length_a 5.3562
_cell_length_b 5.3562
_cell_length_c 5.3562
_cell_angle_alpha 60.00
_cell_angle_beta 60.00
_cell_angle_gamma 60.00
_space_group_name_H-M_alt 'P 1'
_space_group_IT_number 1
loop_
_space_group_symop_operation_xyz
'x,y,z'
loop_
_atom_site_label
_atom_site_fract_x
_atom_site_fract_y
_atom_site_fract_z
Sr1 0.0000 0.0000 0.0000
Cu1 0.3762 0.3762 0.3762
Cu2 0.3762 0.3762 0.8713
Cu3 0.3762 0.8713 0.3762
Cu4 0.8713 0.3762 0.3762
Br1 0.7500 0.7500 0.7500


No. 11
# Li3InBr (PBE, optimized geometry)
# **E_form (uncorrected)**: -462 meV per atom
# **Total moment**: 0.00 μB per cell
# **DOS at the Fermi energy**: 1.9 states/eV/f.u.
# **Symmetry**: Pm-3m (221)
# **Excess energy over the best structure of this formula in the dataset**: 0.00 eV per formula unit
data_Li3InBr
_cell_length_a 4.9030
_cell_length_b 4.9030
_cell_length_c 4.9030
_cell_angle_alpha 90.00
_cell_angle_beta 90.00
_cell_angle_gamma 90.00
_space_group_name_H-M_alt 'P 1'
_space_group_IT_number 1
loop_
_space_group_symop_operation_xyz
'x,y,z'
loop_
_atom_site_label
_atom_site_fract_x
_atom_site_fract_y
_atom_site_fract_z
Li1 0.0000 0.0000 0.5000
Li2 0.0000 0.5000 0.0000
Li3 0.5000 0.0000 0.0000
In1 0.5000 0.5000 0.5000
Br1 0.0000 0.0000 0.0000


No. 12
# LaAlTl2 (PBE, optimized geometry)
# **Total moment**: 0.00 μB per cell
# **DOS at the Fermi energy**: 2.9 states/eV/f.u.
# **Symmetry**: Cmmm (65)
# **Excess energy over the best structure of this formula in the dataset**: 1.34 eV per formula unit
data_LaAlTl2
_cell_length_a 3.4873
_cell_length_b 3.4873
_cell_length_c 10.2867
_cell_angle_alpha 90.00
_cell_angle_beta 90.00
_cell_angle_gamma 115.89
_space_group_name_H-M_alt 'P 1'
_space_group_IT_number 1
loop_
_space_group_symop_operation_xyz
'x,y,z'
loop_
_atom_site_label
_atom_site_fract_x
_atom_site_fract_y
_atom_site_fract_z
La1 0.0000 0.0000 0.0000
Al1 0.0000 0.0000 0.5000
Tl1 0.5000 0.5000 0.2793
Tl2 0.5000 0.5000 0.7207


No. 13
# Cr2FeCo (PBE, optimized geometry)
# **Total moment**: 4.37 μB per cell
# **DOS at the Fermi energy**: 2.9 states/eV/f.u.
# **Symmetry**: Pmmm (47)
# **Raw total energy**: -34.5 eV/cell
data_Cr2FeCo
_cell_length_a 2.9096
_cell_length_b 3.9148
_cell_length_c 4.0795
_cell_angle_alpha 90.00
_cell_angle_beta 90.00
_cell_angle_gamma 90.00
_space_group_name_H-M_alt 'P 1'
_space_group_IT_number 1
loop_
_space_group_symop_operation_xyz
'x,y,z'
loop_
_atom_site_label
_atom_site_fract_x
_atom_site_fract_y
_atom_site_fract_z
Cr1 0.0000 0.0000 0.0000
Cr2 0.5000 0.5000 0.0000
Fe1 0.0000 0.5000 0.5000
Co1 0.5000 0.0000 0.5000


No. 14
# AlCu5Si2 (PBE, optimized geometry)
# **E_form (uncorrected)**: 5 meV per atom
# **Total moment**: 0.00 μB per cell
# **DOS at the Fermi energy**: 2.8 states/eV/f.u.
# **Symmetry**: I4/mmm (139)
# **Excess energy over the best structure of this formula in the dataset**: 0.52 eV per formula unit
data_AlCu5Si2
_cell_length_a 8.1436
_cell_length_b 8.1436
_cell_length_c 8.1436
_cell_angle_alpha 154.21
_cell_angle_beta 154.21
_cell_angle_gamma 36.79
_space_group_name_H-M_alt 'P 1'
_space_group_IT_number 1
loop_
_space_group_symop_operation_xyz
'x,y,z'
loop_
_atom_site_label
_atom_site_fract_x
_atom_site_fract_y
_atom_site_fract_z
Al1 0.0000 0.0000 0.0000
Cu1 0.1241 0.6241 0.5000
Cu2 0.3759 0.8759 0.5000
Cu3 0.5000 0.5000 0.0000
Cu4 0.6241 0.1241 0.5000
Cu5 0.8759 0.3759 0.5000
Si1 0.2499 0.2499 0.0000
Si2 0.7501 0.7501 0.0000


no.,calculated volume (Å³ per atom)
1,15.675
2,22.843
3,16.495
4,26.318
5,22.504
6,18.258
7,15.824
8,24.310
9,21.811
10,18.109
11,23.573
12,28.135
13,11.617
14,12.761